The following is a DFT calculation (GGA-PBE) of an optimized crystal structure of Ta4AsPbN2.

Values from the calculation:
final energy = -75.51 eV for the cell shown
V = 122.4 Å³/cell

Cell: 3.3295 3.3295 12.7513 Å, 90.00 90.00 120.00°
Space group P-6m2 (No. 187)
One atom of each set of equivalent atoms:
Ta: 0.0000 0.0000 0.1450 (multiplicity 2)
Ta: 0.3333 0.6667 0.3126 (multiplicity 2)
As: 0.3333 0.6667 0.0000 (multiplicity 1)
Pb: 0.0000 0.0000 0.5000 (multiplicity 1)
N: 0.6667 0.3333 0.2342 (multiplicity 2)